1.
# K3HfTe2O9, optimized geometry, DFT PBE-GGA
data_K3HfTe2O9
_chemical_formula_sum 'K3 Hf1 Te2 O9'
_symmetry_space_group_name_H-M 'P -3 m 1'
_symmetry_Int_Tables_number 164
_symmetry_space_group_name_Hall '-P 3 2"'
_cell_length_a 5.7674
_cell_length_b 5.7674
_cell_length_c 7.0531
_cell_angle_alpha 90.00
_cell_angle_beta 90.00
_cell_angle_gamma 120.00
loop_
_atom_site_label
_atom_site_fract_x
_atom_site_fract_y
_atom_site_fract_z
_atom_site_occupancy
K1 0.0000 0.0000 0.0000 1
K2 0.3333 0.6667 0.6713 1
Hf1 0.0000 0.0000 0.5000 1
Te1 0.3333 0.6667 0.1723 1
O1 0.0000 0.5000 0.0000 1
O2 0.1715 0.3430 0.3304 1
# - ΔE_f (raw) (meV/atom) = -1771
# - theoretical density (kg/m³) = 5680
# - calculated volume (Å³ per cell) = 203
# - DFT total energy (eV per atom) = -6.0476

---

2.
# Nb5SnB2, optimized geometry, DFT PBE-GGA
data_Nb5SnB2
_chemical_formula_sum 'Nb20 Sn4 B8'
_symmetry_space_group_name_H-M 'I 4/m c m'
_symmetry_Int_Tables_number 140
_symmetry_space_group_name_Hall '-I 4 2c'
_cell_length_a 6.427
_cell_length_b 6.427
_cell_length_c 12.116
_cell_angle_alpha 90.00
_cell_angle_beta 90.00
_cell_angle_gamma 90.00
loop_
_atom_site_label
_atom_site_fract_x
_atom_site_fract_y
_atom_site_fract_z
_atom_site_occupancy
Nb1 0.000 0.000 0.000 1
Nb2 0.164 0.336 0.129 1
Sn1 0.000 0.000 0.250 1
B1 0.123 0.377 0.500 1
# - theoretical density (kg/m³) = 8028
# - calculated volume (Å³ per cell) = 500
# - DFT total energy (eV per atom) = -8.8924
# - ΔH_f (0 K) (eV per atom) = -0.429

---

3.
# PaAs2O6F2, optimized geometry, DFT PBE-GGA
data_PaAs2O6F2
_chemical_formula_sum 'Pa1 As2 O6 F2'
_symmetry_space_group_name_H-M 'P -3 m 1'
_symmetry_Int_Tables_number 164
_symmetry_space_group_name_Hall '-P 3 2"'
_cell_length_a 6.0810
_cell_length_b 6.0810
_cell_length_c 5.9243
_cell_angle_alpha 90.00
_cell_angle_beta 90.00
_cell_angle_gamma 120.00
loop_
_atom_site_label
_atom_site_fract_x
_atom_site_fract_y
_atom_site_fract_z
_atom_site_occupancy
Pa1 0.0000 0.0000 0.0000 1
As1 0.3333 0.6667 0.7271 1
O1 0.1729 0.3459 0.7901 1
F1 0.3333 0.6667 0.4305 1
# - ΔE_f (raw) (meV/atom) = -2045
# - theoretical density (kg/m³) = 4506
# - calculated volume (Å³ per cell) = 190
# - DFT total energy (eV per atom) = -6.7980

---

4.
# TaAl2CoSn, optimized geometry, DFT PBE-GGA
data_TaAl2CoSn
_chemical_formula_sum 'Ta1 Al2 Co1 Sn1'
_symmetry_space_group_name_H-M 'P 4/m m m'
_symmetry_Int_Tables_number 123
_symmetry_space_group_name_Hall '-P 4 2'
_cell_length_a 4.961
_cell_length_b 4.961
_cell_length_c 4.503
_cell_angle_alpha 90.00
_cell_angle_beta 90.00
_cell_angle_gamma 90.00
loop_
_atom_site_label
_atom_site_fract_x
_atom_site_fract_y
_atom_site_fract_z
_atom_site_occupancy
Ta1 0.000 0.000 0.000 1
Al1 0.000 0.500 0.500 1
Co1 0.500 0.500 0.000 1
Sn1 0.500 0.500 0.500 1
# - theoretical density (kg/m³) = 6182
# - calculated volume (Å³ per cell) = 111
# - DFT total energy (eV per atom) = -4.5175
# - ΔH_f (0 K) (eV per atom) = 1.572

---

5.
# RbSrTa3, optimized geometry, DFT PBE-GGA
data_RbSrTa3
_chemical_formula_sum 'Rb1 Sr1 Ta3'
_symmetry_space_group_name_H-M 'P m -3 m'
_symmetry_Int_Tables_number 221
_symmetry_space_group_name_Hall '-P 4 2 3'
_cell_length_a 5.028
_cell_length_b 5.028
_cell_length_c 5.028
_cell_angle_alpha 90.00
_cell_angle_beta 90.00
_cell_angle_gamma 90.00
loop_
_atom_site_label
_atom_site_fract_x
_atom_site_fract_y
_atom_site_fract_z
_atom_site_occupancy
Rb1 0.000 0.000 0.000 1
Sr1 0.500 0.500 0.500 1
Ta1 0.000 0.000 0.500 1
# - excess energy over the best structure of this formula in the dataset (eV per atom) = 0.000
# - theoretical density (kg/m³) = 9354
# - calculated volume (Å³ per cell) = 127
# - DFT total energy (eV per atom) = -4.7728
# - ΔH_f (0 K) (eV per atom) = 2.869

---

6.
# Ac2ScSb3Pt4, optimized geometry, DFT PBE-GGA
data_Ac2ScSb3Pt4
_chemical_formula_sum 'Ac2 Sc1 Sb3 Pt4'
_symmetry_space_group_name_H-M 'P -4 m 2'
_symmetry_Int_Tables_number 115
_symmetry_space_group_name_Hall 'P -4 -2'
_cell_length_a 4.609
_cell_length_b 4.609
_cell_length_c 11.200
_cell_angle_alpha 90.00
_cell_angle_beta 90.00
_cell_angle_gamma 90.00
loop_
_atom_site_label
_atom_site_fract_x
_atom_site_fract_y
_atom_site_fract_z
_atom_site_occupancy
Ac1 0.000 0.500 0.231 1
Sc1 0.000 0.000 0.500 1
Sb1 0.000 0.500 0.870 1
Sb2 0.500 0.500 0.500 1
Pt1 0.000 0.000 0.000 1
Pt2 0.000 0.500 0.633 1
Pt3 0.500 0.500 0.000 1
# - ΔE_f (raw) (meV/atom) = -994
# - theoretical density (kg/m³) = 11477
# - calculated volume (Å³ per cell) = 238
# - DFT total energy (eV per atom) = -6.1017